Density functional theory data (PBE) for crystalline AcYMg2Au4 at its relaxed geometry.

Output
- V (Å³/cell) = 186.6
- energy of formation from the pure elements (kJ per mole of atoms) = -72.5

a = 9.8832 Å, b = 9.8832 Å, c = 9.8832 Å
α = 27.89°, β = 27.89°, γ = 27.89°
Last column: nearest neighbours and their distance in Å.
Sites, in units of the cell vectors:
Ac 0.0000 0.0000 0.0000  8 Au 3.28-3.35
Y 0.5000 0.5000 0.5000  8 Au 2.96-3.08
Mg 0.2404 0.2404 0.2404  6 Au 2.84-2.88
Mg 0.7596 0.7596 0.7596  6 Au 2.84-2.88
Au 0.1176 0.1176 0.1176  3 Mg 2.84, 3 Y 3.08, 3 Au 3.16
Au 0.3960 0.3960 0.3960  3 Mg 2.88, 1 Y 2.96, 3 Au 3.16
Au 0.6040 0.6040 0.6040  3 Mg 2.88, 1 Y 2.96, 3 Au 3.16
Au 0.8824 0.8824 0.8824  3 Mg 2.84, 3 Y 3.08, 3 Au 3.16


Density functional theory data (PBE) for crystalline La2SmCdO at its relaxed geometry.

Output
- V (Å³/cell) = 127.8
- formation energy (no corrections) (kJ/mol of formula units) = -624

a = 5.0897 Å, b = 5.0897 Å, c = 4.9326 Å
α = 90.00°, β = 90.00°, γ = 90.00°
Last column: nearest neighbours and their distance in Å.
Sites, in units of the cell vectors:
La 0.0000 0.5000 0.0000  2 O 2.54
La 0.5000 0.0000 0.0000  2 O 2.54
Sm 0.0000 0.0000 0.5000  2 O 2.47
Cd 0.5000 0.5000 0.5000  8 La 3.54, 4 Sm 3.60
O 0.0000 0.0000 0.0000  2 Sm 2.47, 4 La 2.54


Density functional theory data (PBE) for crystalline Cs2Pm2US6 at its relaxed geometry.

Output
- V (Å³/cell) = 365.2
- formation energy (no corrections) (kJ/mol of formula units) = -1829

a = 7.1449 Å, b = 7.1449 Å, c = 8.6004 Å
α = 98.17°, β = 98.17°, γ = 119.85°
Last column: nearest neighbours and their distance in Å.
Sites, in units of the cell vectors:
Cs 0.1694 0.8306 0.0000  6 S 3.54-3.59
Cs 0.8306 0.1694 0.0000  6 S 3.54-3.59
Pm 0.3336 0.6664 0.5000  6 S 2.83-2.85
Pm 0.6664 0.3336 0.5000  6 S 2.83-2.85
U 0.0000 0.0000 0.5000  6 S 2.71-2.73
S 0.0591 0.3818 0.6784  1 U 2.73, 2 Pm 2.83-2.85
S 0.2578 0.2578 0.3220  1 U 2.71, 2 Pm 2.84
S 0.3818 0.0591 0.6784  1 U 2.73, 2 Pm 2.83-2.85
S 0.6182 0.9409 0.3216  1 U 2.73, 2 Pm 2.83-2.85
S 0.7422 0.7422 0.6780  1 U 2.71, 2 Pm 2.84
S 0.9409 0.6182 0.3216  1 U 2.73, 2 Pm 2.83-2.85


Density functional theory data (PBE) for crystalline BaLiB3S6 at its relaxed geometry.

Output
- V (Å³/cell) = 515.1
- formation energy (no corrections) (kJ/mol of formula units) = -984

a = 8.8301 Å, b = 8.8301 Å, c = 8.5336 Å
α = 113.41°, β = 113.41°, γ = 60.71°
Last column: nearest neighbours and their distance in Å.
Sites, in units of the cell vectors:
Ba 0.1174 0.8826 0.5000  9 S 3.22-3.61, 1 B 3.53
Ba 0.8826 0.1174 0.0000  9 S 3.22-3.61, 1 B 3.53
Li 0.2454 0.4414 0.0450  4 S 2.49-2.63
Li 0.4414 0.2454 0.5450  4 S 2.49-2.63
B 0.3581 0.9800 0.9455  3 S 1.78-1.83
B 0.5007 0.5774 0.9220  3 S 1.78-1.84
B 0.5774 0.5007 0.4220  3 S 1.78-1.84
B 0.7579 0.7613 0.5271  3 S 1.79-1.83
B 0.7613 0.7579 0.0271  3 S 1.79-1.83
B 0.9800 0.3581 0.4455  3 S 1.78-1.83
S 0.1657 0.1739 0.8926  1 B 1.78
S 0.1739 0.1657 0.3926  1 B 1.78
S 0.3043 0.7883 0.9000  2 B 1.83-1.84
S 0.3826 0.4654 0.3851  1 B 1.78
S 0.4654 0.3826 0.8851  1 B 1.78
S 0.5498 0.7323 0.4711  2 B 1.82-1.83
S 0.5823 0.9817 0.0328  2 B 1.82-1.83
S 0.7323 0.5498 0.9711  2 B 1.82-1.83
S 0.7460 0.9836 0.5773  1 B 1.79
S 0.7883 0.3043 0.4000  2 B 1.83-1.84
S 0.9817 0.5823 0.5328  2 B 1.82-1.83
S 0.9836 0.7460 0.0773  1 B 1.79


Density functional theory data (PBE) for crystalline NpGaIr at its relaxed geometry.

Output
- V (Å³/cell) = 342.2
- energy of formation from the pure elements (kJ per mole of atoms) = -44.0

a = 6.9841 Å, b = 4.1175 Å, c = 11.9002 Å
α = 90.00°, β = 90.29°, γ = 90.00°
Last column: nearest neighbours and their distance in Å.
Sites, in units of the cell vectors:
Np 0.0314 0.2500 0.1285  5 Ir 2.93-2.94, 4 Ga 3.10-3.22
Np 0.1540 0.2500 0.4213  5 Ir 2.90-2.96, 5 Ga 3.11-3.23
Np 0.4642 0.7500 0.7915  5 Ir 2.79-2.97, 3 Ga 3.11
Np 0.5358 0.2500 0.2085  5 Ir 2.79-2.97, 3 Ga 3.11
Np 0.8460 0.7500 0.5787  5 Ir 2.90-2.96, 5 Ga 3.11-3.23
Np 0.9686 0.7500 0.8715  5 Ir 2.93-2.94, 4 Ga 3.10-3.22
Ga 0.1328 0.2500 0.7028  4 Ir 2.62-2.72
Ga 0.3544 0.7500 0.0441  4 Ir 2.62-2.76
Ga 0.4966 0.7500 0.4153  4 Ir 2.62-2.66, 2 Ga 2.88
Ga 0.5034 0.2500 0.5847  4 Ir 2.62-2.66, 2 Ga 2.88
Ga 0.6456 0.2500 0.9559  4 Ir 2.62-2.76
Ga 0.8672 0.7500 0.2972  4 Ir 2.62-2.72
Ir 0.2400 0.7500 0.2541  3 Ga 2.62-2.66, 4 Np 2.93
Ir 0.2555 0.2500 0.9202  4 Ga 2.62-2.76, 2 Np 2.93
Ir 0.2615 0.7500 0.5893  5 Ga 2.62-2.66, 2 Np 2.79-2.90
Ir 0.7385 0.2500 0.4107  5 Ga 2.62-2.66, 2 Np 2.79-2.90
Ir 0.7445 0.7500 0.0798  4 Ga 2.62-2.76, 2 Np 2.93
Ir 0.7600 0.2500 0.7459  3 Ga 2.62-2.66, 4 Np 2.93


Density functional theory data (PBE) for crystalline Pr2Nd5Tm2 at its relaxed geometry.

Output
- V (Å³/cell) = 308.5
- energy of formation from the pure elements (kJ per mole of atoms) = 1.5

a = 6.3072 Å, b = 6.3197 Å, c = 8.1604 Å
α = 82.63°, β = 75.01°, γ = 80.30°
Last column: nearest neighbours and their distance in Å.
Sites, in units of the cell vectors:
Pr 0.2217 0.4459 0.1145  2 Tm 3.62, 8 Nd 3.64-3.70, 2 Pr 3.66-3.68
Pr 0.7783 0.5541 0.8855  2 Tm 3.62, 8 Nd 3.64-3.70, 2 Pr 3.66-3.68
Nd 0.0000 0.0000 0.0000  4 Pr 3.64-3.67, 6 Nd 3.65-3.66, 2 Tm 3.66
Nd 0.3316 0.6684 0.6630  5 Nd 3.59-3.67, 4 Tm 3.60-3.65, 3 Pr 3.64-3.70
Nd 0.4439 0.8903 0.2263  6 Nd 3.59-3.70, 3 Tm 3.61-3.64, 3 Pr 3.65-3.70
Nd 0.5561 0.1097 0.7737  6 Nd 3.59-3.70, 3 Tm 3.61-3.64, 3 Pr 3.65-3.70
Nd 0.6684 0.3316 0.3370  5 Nd 3.59-3.67, 4 Tm 3.60-3.65, 3 Pr 3.64-3.70
Tm 0.1093 0.2228 0.5540  8 Nd 3.60-3.66, 2 Pr 3.62, 2 Tm 3.63
Tm 0.8907 0.7772 0.4460  8 Nd 3.60-3.66, 2 Pr 3.62, 2 Tm 3.63


Density functional theory data (PBE) for crystalline InSbN2F at its relaxed geometry.

Output
- V (Å³/cell) = 75.3
- formation energy (no corrections) (kJ/mol of formula units) = 241

a = 4.2677 Å, b = 4.2677 Å, c = 4.1364 Å
α = 90.00°, β = 90.00°, γ = 90.00°
Last column: nearest neighbours and their distance in Å.
Sites, in units of the cell vectors:
In 0.0000 0.0000 0.0000  2 F 2.07, 4 N 2.13
Sb 0.5000 0.5000 0.5000  8 N 2.97, 4 F 3.02
N 0.0000 0.5000 0.0000  2 In 2.13
N 0.5000 0.0000 0.0000  2 In 2.13
F 0.0000 0.0000 0.5000  2 In 2.07


Density functional theory data (PBE) for crystalline LiPmAgAs at its relaxed geometry.

Output
- V (Å³/cell) = 86.2
- energy of formation from the pure elements (kJ per mole of atoms) = -57.3

a = 4.9585 Å, b = 4.9585 Å, c = 4.9585 Å
α = 60.00°, β = 60.00°, γ = 60.00°
Last column: nearest neighbours and their distance in Å.
Sites, in units of the cell vectors:
Li 0.0000 0.0000 0.0000  4 As 3.04, 4 Ag 3.04
Pm 0.5000 0.5000 0.5000  4 As 3.04, 4 Ag 3.04
Ag 0.2500 0.2500 0.2500  4 Li 3.04, 4 Pm 3.04
As 0.7500 0.7500 0.7500  4 Pm 3.04, 4 Li 3.04


Density functional theory data (PBE) for crystalline MgCoW2 at its relaxed geometry.

Output
- V (Å³/cell) = 60.1
- energy of formation from the pure elements (kJ per mole of atoms) = 39.8

a = 5.1844 Å, b = 5.1844 Å, c = 2.6905 Å
α = 98.63°, β = 98.63°, γ = 119.46°
Last column: nearest neighbours and their distance in Å.
Sites, in units of the cell vectors:
Mg 0.0000 0.0000 0.0000  2 Co 2.61, 2 Mg 2.69, 4 W 2.74
Co 0.5000 0.5000 0.0000  2 Mg 2.61, 2 Co 2.69, 4 W 2.74
W 0.0000 0.5000 0.5000  4 W 2.61-2.69, 2 Co 2.74, 2 Mg 2.74
W 0.5000 0.0000 0.5000  4 W 2.61-2.69, 2 Co 2.74, 2 Mg 2.74


Density functional theory data (PBE) for crystalline KZnPt at its relaxed geometry.

Output
- V (Å³/cell) = 312.6
- energy of formation from the pure elements (kJ per mole of atoms) = -23.3

a = 6.3002 Å, b = 6.4344 Å, c = 8.0666 Å
α = 73.13°, β = 88.20°, γ = 87.68°
Last column: nearest neighbours and their distance in Å.
Sites, in units of the cell vectors:
K 0.0872 0.3049 0.3850  4 Pt 3.32-3.59, 6 Zn 3.42-3.64, 2 K 3.65-3.69
K 0.3271 0.3603 0.8947  4 Pt 3.21-3.54, 2 Zn 3.46-3.51
K 0.6729 0.6397 0.1053  4 Pt 3.21-3.54, 2 Zn 3.46-3.51
K 0.9128 0.6951 0.6150  4 Pt 3.32-3.59, 6 Zn 3.42-3.64, 2 K 3.65-3.69
Zn 0.2076 0.8765 0.2157  3 Pt 2.46-2.55
Zn 0.4069 0.9383 0.6725  3 Pt 2.49-2.56
Zn 0.5931 0.0617 0.3275  3 Pt 2.49-2.56
Zn 0.7924 0.1235 0.7843  3 Pt 2.46-2.55
Pt 0.1289 0.9053 0.9035  3 Zn 2.49-2.55, 1 Pt 2.71
Pt 0.4254 0.6981 0.4685  3 Zn 2.46-2.56, 1 Pt 2.59
Pt 0.5746 0.3019 0.5315  3 Zn 2.46-2.56, 1 Pt 2.59
Pt 0.8711 0.0947 0.0965  3 Zn 2.49-2.55, 1 Pt 2.71


Density functional theory data (PBE) for crystalline Zr2TiHOs at its relaxed geometry.

Output
- calculated total energy (eV per atom) = -8.18
- V (Å³/cell) = 76.3

a = 4.6399 Å, b = 4.6399 Å, c = 3.5450 Å
α = 90.00°, β = 90.00°, γ = 90.00°
Last column: nearest neighbours and their distance in Å.
Sites, in units of the cell vectors:
Zr 0.0000 0.5000 0.0000  2 H 2.32
Zr 0.5000 0.0000 0.0000  2 H 2.32
Ti 0.0000 0.0000 0.5000  2 H 1.77
H 0.0000 0.0000 0.0000  2 Ti 1.77
Os 0.5000 0.5000 0.5000  8 Zr 2.92


Density functional theory data (PBE) for crystalline Re2NiW at its relaxed geometry.

Output
- V (Å³/cell) = 57.9
- energy of formation from the pure elements (kJ per mole of atoms) = 12.7

a = 4.6937 Å, b = 4.6937 Å, c = 4.6748 Å
α = 100.57°, β = 100.57°, γ = 34.97°
Last column: nearest neighbours and their distance in Å.
Sites, in units of the cell vectors:
Re 0.0000 0.0000 0.0000  4 W 2.68-2.78, 5 Re 2.69-2.82, 3 Ni 2.71-2.75
Re 0.7491 0.7491 0.2397  5 Re 2.69-2.82, 4 Ni 2.71-2.75, 3 W 2.75-2.78
Ni 0.2520 0.2520 0.7455  3 W 2.68, 7 Re 2.71-2.75, 2 Ni 2.82
W 0.5035 0.5035 0.5149  7 Re 2.68-2.78, 3 Ni 2.68, 2 W 2.82